1.
The following is a GGA-PBE calculation of a relaxed Rb2YC2O6 crystal, from Alexandria via LeMat-Bulk.

Results
N(E_F): 2.47 states/eV per cell
DFT total energy: -77.467 eV for the cell shown
Space-group type: P-3m1 (164)
Volume: 219.9 Å³/cell
Total moment: 0.0 μB/f.u.

Cell and atoms, written as extended XYZ:
```
11
Lattice="5.524 0.000 0.000 -2.762 4.784 0.000 0.000 0.000 8.322" Properties=species:S:1:pos:R:3 pbc="T T T"
Rb 0.000 3.189 2.561
Rb 2.762 1.595 5.761
Y 0.000 0.000 0.000
C 0.000 3.189 7.114
C 2.762 1.595 1.207
O 0.000 1.890 7.081
O -1.125 3.839 7.081
O 1.637 0.945 1.240
O 1.125 3.839 7.081
O 3.887 0.945 1.240
O 2.762 2.893 1.240
```


2.
The following is a GGA-PBE calculation of a relaxed BAsC2 crystal, from Alexandria via LeMat-Bulk.

Results
N(E_F): 1.09 states/eV per cell
DFT total energy: -26.897 eV for the cell shown
Space-group type: Cm (8)
Volume: 49.7 Å³/cell
Total moment: 0.0 μB/f.u.
Relative energy among the computed polymorphs: 321 meV per atom
Formation enthalpy at 0 K: 0.719 eV/atom

Cell and atoms, written as extended XYZ:
```
4
Lattice="3.712 -1.332 0.000 3.712 1.332 0.000 -1.906 0.000 5.027" Properties=species:S:1:pos:R:3 pbc="T T T"
B 0.000 0.000 0.000
As 0.915 0.000 2.153
C 1.522 0.000 0.127
C 0.976 0.000 4.973
```


3.
The following is a GGA-PBE calculation of a relaxed CaHgIr2 crystal, from Alexandria via LeMat-Bulk.

Results
N(E_F): 3.90 states/eV per cell
DFT total energy: -18.952 eV for the cell shown
Space-group type: Immm (71)
Volume: 74.0 Å³/cell
Total moment: 0.0 μB/f.u.
Formation enthalpy at 0 K: 0.268 eV/atom

Cell and atoms, written as extended XYZ:
```
4
Lattice="-1.565 2.462 4.799 1.565 -2.462 4.799 1.565 2.462 -4.799" Properties=species:S:1:pos:R:3 pbc="T T T"
Ca 0.000 0.000 0.000
Hg 0.000 0.000 4.799
Ir 1.565 0.000 2.486
Ir 0.000 2.462 2.313
```


4.
The following is a GGA-PBE calculation of a relaxed Ac2IN2 crystal, from Alexandria via LeMat-Bulk.

Results
N(E_F): 5.37 states/eV per cell
DFT total energy: -62.587 eV for the cell shown
Space-group type: C2/c (15)
Volume: 251.3 Å³/cell
Total moment: 0.0 μB/f.u.
Relative energy among the computed polymorphs: 180 meV per atom

Cell and atoms, written as extended XYZ:
```
10
Lattice="8.237 -2.179 0.000 8.237 2.179 0.000 -1.102 0.000 7.002" Properties=species:S:1:pos:R:3 pbc="T T T"
Ac 4.625 1.325 5.997
Ac 10.195 1.325 4.505
Ac 5.176 -1.325 2.496
Ac 10.746 -1.325 1.005
I 7.961 0.927 1.750
I 7.410 -0.927 5.251
N 4.022 0.618 3.254
N 3.471 -0.618 6.755
N 11.900 0.618 0.247
N 11.349 -0.618 3.747
```